# K2RbAsBr6

An optimized crystal structure of K2RbAsBr6 (PBE-GGA, Alexandria via LeMat-Bulk).

Cell and atoms, written as CIF:
```
data_K2RbAsBr6
_cell_length_a 11.755
_cell_length_b 11.755
_cell_length_c 11.755
_cell_angle_alpha 90.00
_cell_angle_beta 90.00
_cell_angle_gamma 90.00
_symmetry_space_group_name_H-M 'F m -3 m'
_symmetry_Int_Tables_number 225
_symmetry_space_group_name_Hall '-F 4 2 3'
loop_
_atom_site_label
_atom_site_fract_x
_atom_site_fract_y
_atom_site_fract_z
K1 0.250 0.250 0.250
Rb1 0.000 0.000 0.000
As1 0.000 0.000 0.500
Br1 0.000 0.000 0.274
```

# KAsRhBr2

An optimized crystal structure of KAsRhBr2 (PBE-GGA, Alexandria via LeMat-Bulk).

Cell and atoms, written as CIF:
```
data_KAsRhBr2
_cell_length_a 5.518
_cell_length_b 5.518
_cell_length_c 4.618
_cell_angle_alpha 90.00
_cell_angle_beta 90.00
_cell_angle_gamma 90.00
_symmetry_space_group_name_H-M 'P 4/m m m'
_symmetry_Int_Tables_number 123
_symmetry_space_group_name_Hall '-P 4 2'
loop_
_atom_site_label
_atom_site_fract_x
_atom_site_fract_y
_atom_site_fract_z
K1 0.000 0.000 0.000
As1 0.500 0.500 0.000
Rh1 0.500 0.500 0.500
Br1 0.000 0.500 0.500
```

# KAsRhBr2

An optimized crystal structure of KAsRhBr2 (PBE-GGA, Alexandria via LeMat-Bulk).

Cell and atoms, written as CIF:
```
data_KAsRhBr2
_cell_length_a 6.020
_cell_length_b 6.020
_cell_length_c 6.111
_cell_angle_alpha 90.00
_cell_angle_beta 90.00
_cell_angle_gamma 90.00
_symmetry_space_group_name_H-M 'P 4/m m m'
_symmetry_Int_Tables_number 123
_symmetry_space_group_name_Hall '-P 4 2'
loop_
_atom_site_label
_atom_site_fract_x
_atom_site_fract_y
_atom_site_fract_z
K1 0.000 0.000 0.000
As1 0.000 0.000 0.500
Rh1 0.500 0.500 0.500
Br1 0.000 0.500 0.000
```

# KAs2RhBr

An optimized crystal structure of KAs2RhBr (PBE-GGA, Alexandria via LeMat-Bulk).

Cell and atoms, written as CIF:
```
data_KAs2RhBr
_cell_length_a 4.637
_cell_length_b 4.637
_cell_length_c 8.353
_cell_angle_alpha 90.00
_cell_angle_beta 90.00
_cell_angle_gamma 90.00
_symmetry_space_group_name_H-M 'P 4/m m m'
_symmetry_Int_Tables_number 123
_symmetry_space_group_name_Hall '-P 4 2'
loop_
_atom_site_label
_atom_site_fract_x
_atom_site_fract_y
_atom_site_fract_z
K1 0.000 0.000 0.000
As1 0.000 0.500 0.500
Rh1 0.500 0.500 0.500
Br1 0.500 0.500 0.000
```

# KAs2RhBr

An optimized crystal structure of KAs2RhBr (PBE-GGA, Alexandria via LeMat-Bulk).

Cell and atoms, written as CIF:
```
data_KAs2RhBr
_cell_length_a 6.253
_cell_length_b 6.253
_cell_length_c 5.830
_cell_angle_alpha 90.00
_cell_angle_beta 90.00
_cell_angle_gamma 90.00
_symmetry_space_group_name_H-M 'P 4/m m m'
_symmetry_Int_Tables_number 123
_symmetry_space_group_name_Hall '-P 4 2'
loop_
_atom_site_label
_atom_site_fract_x
_atom_site_fract_y
_atom_site_fract_z
K1 0.000 0.000 0.000
As1 0.000 0.500 0.000
Rh1 0.500 0.500 0.500
Br1 0.000 0.000 0.500
```

# KAs2SBr

An optimized crystal structure of KAs2SBr (PBE-GGA, Alexandria via LeMat-Bulk).

Cell and atoms, written as CIF:
```
data_KAs2SBr
_cell_length_a 4.739
_cell_length_b 4.739
_cell_length_c 8.389
_cell_angle_alpha 90.00
_cell_angle_beta 90.00
_cell_angle_gamma 90.00
_symmetry_space_group_name_H-M 'P 4/m m m'
_symmetry_Int_Tables_number 123
_symmetry_space_group_name_Hall '-P 4 2'
loop_
_atom_site_label
_atom_site_fract_x
_atom_site_fract_y
_atom_site_fract_z
K1 0.000 0.000 0.000
As1 0.000 0.500 0.500
S1 0.500 0.500 0.500
Br1 0.500 0.500 0.000
```

# KAs2SBr

An optimized crystal structure of KAs2SBr (PBE-GGA, Alexandria via LeMat-Bulk).

Cell and atoms, written as CIF:
```
data_KAs2SBr
_cell_length_a 7.239
_cell_length_b 7.239
_cell_length_c 6.118
_cell_angle_alpha 90.00
_cell_angle_beta 90.00
_cell_angle_gamma 90.00
_symmetry_space_group_name_H-M 'P 4/m m m'
_symmetry_Int_Tables_number 123
_symmetry_space_group_name_Hall '-P 4 2'
loop_
_atom_site_label
_atom_site_fract_x
_atom_site_fract_y
_atom_site_fract_z
K1 0.000 0.000 0.000
As1 0.000 0.500 0.000
S1 0.500 0.500 0.500
Br1 0.000 0.000 0.500
```

# KAs2SeBr

An optimized crystal structure of KAs2SeBr (PBE-GGA, Alexandria via LeMat-Bulk).

Cell and atoms, written as CIF:
```
data_KAs2SeBr
_cell_length_a 6.414
_cell_length_b 6.414
_cell_length_c 5.948
_cell_angle_alpha 90.00
_cell_angle_beta 90.00
_cell_angle_gamma 90.00
_symmetry_space_group_name_H-M 'P 4/m m m'
_symmetry_Int_Tables_number 123
_symmetry_space_group_name_Hall '-P 4 2'
loop_
_atom_site_label
_atom_site_fract_x
_atom_site_fract_y
_atom_site_fract_z
K1 0.000 0.000 0.000
As1 0.000 0.500 0.000
Se1 0.000 0.000 0.500
Br1 0.500 0.500 0.500
```

# KAs2SeBr

An optimized crystal structure of KAs2SeBr (PBE-GGA, Alexandria via LeMat-Bulk).

Cell and atoms, written as CIF:
```
data_KAs2SeBr
_cell_length_a 5.258
_cell_length_b 5.258
_cell_length_c 5.662
_cell_angle_alpha 90.00
_cell_angle_beta 90.00
_cell_angle_gamma 90.00
_symmetry_space_group_name_H-M 'P 4/m m m'
_symmetry_Int_Tables_number 123
_symmetry_space_group_name_Hall '-P 4 2'
loop_
_atom_site_label
_atom_site_fract_x
_atom_site_fract_y
_atom_site_fract_z
K1 0.000 0.000 0.000
As1 0.000 0.500 0.500
Se1 0.500 0.500 0.000
Br1 0.500 0.500 0.500
```

# KAs2SeBr

An optimized crystal structure of KAs2SeBr (PBE-GGA, Alexandria via LeMat-Bulk).

Cell and atoms, written as CIF:
```
data_KAs2SeBr
_cell_length_a 4.951
_cell_length_b 4.951
_cell_length_c 8.201
_cell_angle_alpha 90.00
_cell_angle_beta 90.00
_cell_angle_gamma 90.00
_symmetry_space_group_name_H-M 'P 4/m m m'
_symmetry_Int_Tables_number 123
_symmetry_space_group_name_Hall '-P 4 2'
loop_
_atom_site_label
_atom_site_fract_x
_atom_site_fract_y
_atom_site_fract_z
K1 0.000 0.000 0.000
As1 0.000 0.500 0.500
Se1 0.500 0.500 0.500
Br1 0.500 0.500 0.000
```

# KAs2SeBr

An optimized crystal structure of KAs2SeBr (PBE-GGA, Alexandria via LeMat-Bulk).

Cell and atoms, written as CIF:
```
data_KAs2SeBr
_cell_length_a 7.159
_cell_length_b 7.159
_cell_length_c 6.135
_cell_angle_alpha 90.00
_cell_angle_beta 90.00
_cell_angle_gamma 90.00
_symmetry_space_group_name_H-M 'P 4/m m m'
_symmetry_Int_Tables_number 123
_symmetry_space_group_name_Hall '-P 4 2'
loop_
_atom_site_label
_atom_site_fract_x
_atom_site_fract_y
_atom_site_fract_z
K1 0.000 0.000 0.000
As1 0.000 0.500 0.000
Se1 0.500 0.500 0.500
Br1 0.000 0.000 0.500
```

# KSiAsBr2

An optimized crystal structure of KSiAsBr2 (PBE-GGA, Alexandria via LeMat-Bulk).

Cell and atoms, written as CIF:
```
data_KSiAsBr2
_cell_length_a 5.902
_cell_length_b 5.902
_cell_length_c 6.098
_cell_angle_alpha 90.00
_cell_angle_beta 90.00
_cell_angle_gamma 90.00
_symmetry_space_group_name_H-M 'P 4/m m m'
_symmetry_Int_Tables_number 123
_symmetry_space_group_name_Hall '-P 4 2'
loop_
_atom_site_label
_atom_site_fract_x
_atom_site_fract_y
_atom_site_fract_z
K1 0.000 0.000 0.000
Si1 0.500 0.500 0.500
As1 0.000 0.000 0.500
Br1 0.000 0.500 0.000
```

| no. | energy above the most stable polymorph in this dataset (meV/atom) | electronic total energy (Ry/atom) |
| --- | --- | --- |
| 1 | 70 | -0.215 |
| 2 | 0 | -0.278 |
| 3 | 1520 | -0.167 |
| 4 | 0 | -0.305 |
| 5 | 1878 | -0.167 |
| 6 | 0 | -0.242 |
| 7 | 1275 | -0.148 |
| 8 | 1284 | -0.134 |
| 9 | 538 | -0.189 |
| 10 | 0 | -0.228 |
| 11 | 1128 | -0.146 |
| 12 | 1098 | -0.158 |